# 1
KTl2Hg7 after structural relaxation, computed with PBE.

Cell: 13.9662 13.9662 3.4510 Å, 90.00 90.00 153.96°
With the nearest neighbours (Å) after each atom.
Element x y z (fractional)
K (0.0000, 0.0000, 0.0000)  2 K 3.45, 12 Hg 3.59-3.63
Tl (0.2899, 0.7101, 0.5000)  8 Hg 3.25-3.63, 2 Tl 3.45
Tl (0.7101, 0.2899, 0.5000)  8 Hg 3.25-3.63, 2 Tl 3.45
Hg (0.1492, 0.3528, 0.5000)  7 Hg 3.13-3.45, 1 Tl 3.34
Hg (0.1889, 0.8111, 0.0000)  6 Tl 3.25-3.63, 6 Hg 3.33-3.45
Hg (0.3528, 0.1492, 0.5000)  7 Hg 3.13-3.45, 1 Tl 3.34
Hg (0.5000, 0.5000, 0.5000)  6 Hg 3.18-3.45
Hg (0.6472, 0.8508, 0.5000)  7 Hg 3.13-3.45, 1 Tl 3.34
Hg (0.8111, 0.1889, 0.0000)  6 Tl 3.25-3.63, 6 Hg 3.33-3.45
Hg (0.8508, 0.6472, 0.5000)  7 Hg 3.13-3.45, 1 Tl 3.34

Computed properties:
The total energy comes out at -0.0318 Ha/atom. The calculation puts the size of the total moment at 0.00 μB per formula unit. Its space-group type is Cmmm, No. 65. The value obtained for the energy above the most stable polymorph in this dataset is 0 meV per atom.

# 2
TlIn2H after structural relaxation, computed with PBE.

Cell: 7.7477 7.7477 7.7477 Å, 138.35 138.35 60.37°
With the nearest neighbours (Å) after each atom.
Element x y z (fractional)
Tl (0.0000, 0.0000, 0.0000)  4 In 3.07
Tl (0.7500, 0.2500, 0.5000)  4 In 3.07
In (0.2685, 0.6250, 0.1435)  2 H 2.25
In (0.3750, 0.5185, 0.6435)  2 H 2.25
In (0.4815, 0.1250, 0.8565)  2 H 2.25
In (0.8750, 0.7315, 0.3565)  2 H 2.25
H (0.2500, 0.7500, 0.5000)  4 In 2.25
H (0.5000, 0.5000, 0.0000)  4 In 2.25

Computed properties:
The total energy comes out at -0.0916 Ha/atom. The calculation puts the size of the total moment at 0.00 μB per formula unit. Its space-group type is I-42d, No. 122. The value obtained for the energy above the most stable polymorph in this dataset is 121 meV per atom.